Nd7Dy3Ho2 | PBE | optimized geometry

Output
- size of the total moment (μB/atom) = 0.000
- SG = Cmmm, No. 65
- DFT total energy (eV for the cell shown) = -54.98
- ΔH_f (0 K) (eV/atom) = 0.11

CIF file:
```
data_Nd7Dy3Ho2
_chemical_formula_sum 'Nd7 Dy3 Ho2'
_cell_length_a 19.4019
_cell_length_b 19.4019
_cell_length_c 3.6348
_cell_angle_alpha 90.00
_cell_angle_beta 90.00
_cell_angle_gamma 162.75
_space_group_name_H-M_alt 'P 1'
_space_group_IT_number 1
loop_
_space_group_symop_operation_xyz
'x,y,z'
loop_
_atom_site_label
_atom_site_type_symbol
_atom_site_fract_x
_atom_site_fract_y
_atom_site_fract_z
Nd1 Nd 0.0000 0.0000 0.0000
Nd2 Nd 0.0729 0.9271 0.5000
Nd3 Nd 0.2322 0.7678 0.0000
Nd4 Nd 0.4069 0.5931 0.0000
Nd5 Nd 0.5931 0.4069 0.0000
Nd6 Nd 0.7678 0.2322 0.0000
Nd7 Nd 0.9271 0.0729 0.5000
Dy1 Dy 0.3156 0.6844 0.5000
Dy2 Dy 0.5000 0.5000 0.5000
Dy3 Dy 0.6844 0.3156 0.5000
Ho1 Ho 0.1489 0.8511 0.0000
Ho2 Ho 0.8511 0.1489 0.0000
```

---

LiScZn2Pt | PBE | optimized geometry

Output
- size of the total moment (μB/atom) = 0.000
- SG = P4/mmm, No. 123
- DFT total energy (eV for the cell shown) = -17.64
- ΔH_f (0 K) (eV/atom) = -0.16

CIF file:
```
data_LiScZn2Pt
_chemical_formula_sum 'Li1 Sc1 Zn2 Pt1'
_cell_length_a 4.9056
_cell_length_b 4.9056
_cell_length_c 4.9267
_cell_angle_alpha 90.00
_cell_angle_beta 90.00
_cell_angle_gamma 90.00
_space_group_name_H-M_alt 'P 1'
_space_group_IT_number 1
loop_
_space_group_symop_operation_xyz
'x,y,z'
loop_
_atom_site_label
_atom_site_type_symbol
_atom_site_fract_x
_atom_site_fract_y
_atom_site_fract_z
Li1 Li 0.0000 0.0000 0.0000
Sc1 Sc 0.5000 0.5000 0.0000
Zn1 Zn 0.0000 0.5000 0.5000
Zn2 Zn 0.5000 0.0000 0.5000
Pt1 Pt 0.5000 0.5000 0.5000
```

---

Rb2Rh2Cl | PBE | optimized geometry

Output
- size of the total moment (μB/atom) = 0.478
- energy relative to the elements, uncorrected (eV/atom) = 0.398
- SG = P4/mbm, No. 127
- DFT total energy (eV for the cell shown) = -32.99

CIF file:
```
data_Rb2Rh2Cl
_chemical_formula_sum 'Rb4 Rh4 Cl2'
_cell_length_a 9.5686
_cell_length_b 9.5686
_cell_length_c 3.2615
_cell_angle_alpha 90.00
_cell_angle_beta 90.00
_cell_angle_gamma 90.00
_space_group_name_H-M_alt 'P 1'
_space_group_IT_number 1
loop_
_space_group_symop_operation_xyz
'x,y,z'
loop_
_atom_site_label
_atom_site_type_symbol
_atom_site_fract_x
_atom_site_fract_y
_atom_site_fract_z
Rb1 Rb 0.2058 0.2942 0.0000
Rb2 Rb 0.2942 0.7942 0.0000
Rb3 Rb 0.7058 0.2058 0.0000
Rb4 Rb 0.7942 0.7058 0.0000
Rh1 Rh 0.0859 0.5859 0.5000
Rh2 Rh 0.4141 0.0859 0.5000
Rh3 Rh 0.5859 0.9141 0.5000
Rh4 Rh 0.9141 0.4141 0.5000
Cl1 Cl 0.0000 0.0000 0.5000
Cl2 Cl 0.5000 0.5000 0.5000
```

---

Pu6MnRu2 | PBE | optimized geometry

Output
- size of the total moment (μB/atom) = 0.000
- SG = P-31m, No. 162
- DFT total energy (eV for the cell shown) = -112.44
- ΔH_f (0 K) (eV/atom) = 0.14

CIF file:
```
data_Pu6MnRu2
_chemical_formula_sum 'Pu6 Mn1 Ru2'
_cell_length_a 7.5897
_cell_length_b 7.5897
_cell_length_c 2.8483
_cell_angle_alpha 90.00
_cell_angle_beta 90.00
_cell_angle_gamma 120.00
_space_group_name_H-M_alt 'P 1'
_space_group_IT_number 1
loop_
_space_group_symop_operation_xyz
'x,y,z'
loop_
_atom_site_label
_atom_site_type_symbol
_atom_site_fract_x
_atom_site_fract_y
_atom_site_fract_z
Pu1 Pu 0.0000 0.3202 0.0912
Pu2 Pu 0.0000 0.6798 0.9088
Pu3 Pu 0.3202 0.0000 0.0912
Pu4 Pu 0.3202 0.3202 0.9088
Pu5 Pu 0.6798 0.0000 0.9088
Pu6 Pu 0.6798 0.6798 0.0912
Mn1 Mn 0.0000 0.0000 0.5000
Ru1 Ru 0.3333 0.6667 0.5000
Ru2 Ru 0.6667 0.3333 0.5000
```

---

Question: What is the formula in the second record?
Answer: LiScZn2Pt

---

Question: The lowest DFT total energy belongs to which entry?
Answer: Pu6MnRu2

---

Copy entry 1 word for word.
Nd7Dy3Ho2 | PBE | optimized geometry

Output
- size of the total moment (μB/atom) = 0.000
- SG = Cmmm, No. 65
- DFT total energy (eV for the cell shown) = -54.98
- ΔH_f (0 K) (eV/atom) = 0.11

CIF file:
```
data_Nd7Dy3Ho2
_chemical_formula_sum 'Nd7 Dy3 Ho2'
_cell_length_a 19.4019
_cell_length_b 19.4019
_cell_length_c 3.6348
_cell_angle_alpha 90.00
_cell_angle_beta 90.00
_cell_angle_gamma 162.75
_space_group_name_H-M_alt 'P 1'
_space_group_IT_number 1
loop_
_space_group_symop_operation_xyz
'x,y,z'
loop_
_atom_site_label
_atom_site_type_symbol
_atom_site_fract_x
_atom_site_fract_y
_atom_site_fract_z
Nd1 Nd 0.0000 0.0000 0.0000
Nd2 Nd 0.0729 0.9271 0.5000
Nd3 Nd 0.2322 0.7678 0.0000
Nd4 Nd 0.4069 0.5931 0.0000
Nd5 Nd 0.5931 0.4069 0.0000
Nd6 Nd 0.7678 0.2322 0.0000
Nd7 Nd 0.9271 0.0729 0.5000
Dy1 Dy 0.3156 0.6844 0.5000
Dy2 Dy 0.5000 0.5000 0.5000
Dy3 Dy 0.6844 0.3156 0.5000
Ho1 Ho 0.1489 0.8511 0.0000
Ho2 Ho 0.8511 0.1489 0.0000
```

---

Question: Which formula does entry 1 have?
Answer: Nd7Dy3Ho2